No. 1
Ac2YTiO6 | PBE | optimized geometry

a b c (Å): 5.912 5.978 10.178
angles (deg): 90.00 124.83 90.00
Element x y z (fractional)
Ac (0.236, 0.049, 0.247)
Ac (0.236, 0.451, 0.747)
Ac (0.764, 0.549, 0.253)
Ac (0.764, 0.951, 0.753)
Y (0.500, 0.000, 0.000)
Y (0.500, 0.500, 0.500)
Ti (0.000, 0.000, 0.500)
Ti (0.000, 0.500, 0.000)
O (0.143, 0.215, 0.948)
O (0.143, 0.285, 0.448)
O (0.236, 0.695, 0.953)
O (0.236, 0.805, 0.453)
O (0.330, 0.024, 0.738)
O (0.330, 0.476, 0.238)
O (0.670, 0.524, 0.762)
O (0.670, 0.976, 0.262)
O (0.764, 0.195, 0.547)
O (0.764, 0.305, 0.047)
O (0.857, 0.715, 0.552)
O (0.857, 0.785, 0.052)

formation energy from raw total energies = -3261 meV/atom

***

No. 2
Sr2HgBr2O2 | PBE | optimized geometry

a b c (Å): 12.151 4.093 8.167
angles (deg): 90.00 122.61 90.00
Element x y z (fractional)
Sr (0.193, 0.000, 0.266)
Sr (0.307, 0.500, 0.734)
Sr (0.693, 0.500, 0.266)
Sr (0.807, 0.000, 0.734)
Hg (0.000, 0.000, 0.500)
Hg (0.500, 0.500, 0.500)
Br (0.080, 0.500, 0.874)
Br (0.420, 0.000, 0.126)
Br (0.580, 0.000, 0.874)
Br (0.920, 0.500, 0.126)
O (0.188, 0.000, 0.567)
O (0.312, 0.500, 0.433)
O (0.688, 0.500, 0.567)
O (0.812, 0.000, 0.433)

formation energy from raw total energies = -1921 meV/atom

***

No. 3
YMo2Pt | PBE | optimized geometry

a b c (Å): 5.510 9.347 2.808
angles (deg): 90.00 90.00 90.00
Element x y z (fractional)
Y (0.000, 0.000, 0.000)
Y (0.500, 0.500, 0.000)
Mo (0.250, 0.250, 0.500)
Mo (0.250, 0.750, 0.500)
Mo (0.750, 0.250, 0.500)
Mo (0.750, 0.750, 0.500)
Pt (0.000, 0.500, 0.000)
Pt (0.500, 0.000, 0.000)

E_form = 0.23 eV/atom
energy above the most stable polymorph in this dataset = 365 meV/atom

***

No. 4
Tb6Y3Tm2Zr | PBE | optimized geometry

a b c (Å): 6.086 6.086 11.642
angles (deg): 94.97 94.97 119.91
Element x y z (fractional)
Tb (0.081, 0.409, 0.243)
Tb (0.246, 0.246, 0.758)
Tb (0.409, 0.081, 0.243)
Tb (0.591, 0.919, 0.757)
Tb (0.754, 0.754, 0.242)
Tb (0.919, 0.591, 0.757)
Y (0.167, 0.833, 0.500)
Y (0.500, 0.500, 0.500)
Y (0.833, 0.167, 0.500)
Tm (0.333, 0.667, 0.000)
Tm (0.667, 0.333, 0.000)
Zr (0.000, 0.000, 0.000)

E_form = 0.04 eV/atom

***

No. 5
HoTh2Sc | PBE | optimized geometry

a b c (Å): 7.823 7.823 7.823
angles (deg): 90.00 90.00 90.00
Element x y z (fractional)
Ho (0.000, 0.000, 0.000)
Ho (0.000, 0.500, 0.500)
Ho (0.500, 0.000, 0.500)
Ho (0.500, 0.500, 0.000)
Th (0.250, 0.250, 0.250)
Th (0.250, 0.250, 0.750)
Th (0.250, 0.750, 0.250)
Th (0.250, 0.750, 0.750)
Th (0.750, 0.250, 0.250)
Th (0.750, 0.250, 0.750)
Th (0.750, 0.750, 0.250)
Th (0.750, 0.750, 0.750)
Sc (0.000, 0.000, 0.500)
Sc (0.000, 0.500, 0.000)
Sc (0.500, 0.000, 0.000)
Sc (0.500, 0.500, 0.500)

E_form = 0.10 eV/atom
energy above the most stable polymorph in this dataset = 67 meV/atom

***

No. 6
NaTiTlS2 | PBE | optimized geometry

a b c (Å): 5.284 5.284 5.071
angles (deg): 90.00 90.00 90.00
Element x y z (fractional)
Na (0.000, 0.000, 0.000)
Ti (0.500, 0.500, 0.000)
Tl (0.000, 0.000, 0.500)
S (0.000, 0.500, 0.500)
S (0.500, 0.000, 0.500)

formation energy from raw total energies = 887 meV/atom

***

No. 7
Sc3Tl6Br14 | PBE | optimized geometry

a b c (Å): 11.804 11.804 7.219
angles (deg): 90.00 90.00 120.00
Element x y z (fractional)
Sc (0.000, 0.000, 0.000)
Sc (0.333, 0.667, 0.081)
Sc (0.667, 0.333, 0.474)
Tl (0.117, 0.316, 0.427)
Tl (0.199, 0.883, 0.427)
Tl (0.464, 0.430, 0.905)
Tl (0.570, 0.034, 0.905)
Tl (0.684, 0.801, 0.427)
Tl (0.966, 0.536, 0.905)
Br (0.000, 0.000, 0.648)
Br (0.117, 0.582, 0.302)
Br (0.195, 0.448, 0.873)
Br (0.228, 0.136, 0.135)
Br (0.253, 0.805, 0.873)
Br (0.418, 0.536, 0.302)
Br (0.440, 0.184, 0.609)
Br (0.464, 0.883, 0.302)
Br (0.552, 0.747, 0.873)
Br (0.667, 0.333, 0.121)
Br (0.744, 0.560, 0.609)
Br (0.816, 0.256, 0.609)
Br (0.864, 0.092, 0.135)
Br (0.908, 0.772, 0.135)

formation energy from raw total energies = -1216 meV/atom

***

No. 8
TiTcS2N | PBE | optimized geometry

a b c (Å): 4.807 4.807 3.731
angles (deg): 90.00 90.00 90.00
Element x y z (fractional)
Ti (0.000, 0.000, 0.000)
Tc (0.500, 0.500, 0.500)
S (0.000, 0.500, 0.000)
S (0.500, 0.000, 0.000)
N (0.000, 0.000, 0.500)

formation energy from raw total energies = 347 meV/atom
energy above the most stable polymorph in this dataset = 169 meV/atom

***

Let's list density of states at the Fermi level in order: 0.23, 0.00, 0.98, 1.30, 1.22, 1.75, 0.48, 0.74 states/eV/atom.
Let's list energy in order: -8.493, -4.339, -8.314, -5.344, -6.332, -3.080, -3.678, -6.621 eV/atom.